Sm12Ho2Tl (PBE, optimized geometry); V = 33.74 Å³/atom; crystal system = orthorhombic; energy of formation from the pure elements = 1.6 eV/f.u.; density = 7.7 Mg/m³; density of states at the Fermi level = 1.398 states/eV/atom
1.0
6.614 -1.491 0.000
-1.491 6.614 0.000
0.000 0.000 24.378
Sm Tl Ho
24 2 4
direct
0.731 0.231 0.412
0.500 0.500 0.323
0.769 0.269 0.588
0.726 0.774 0.561
0.000 0.000 0.323
0.249 0.749 0.122
0.249 0.251 0.928
0.751 0.749 0.928
0.751 0.251 0.122
0.749 0.751 0.072
0.000 0.000 0.677
0.500 0.500 0.677
0.000 0.000 0.805
0.500 0.500 0.805
0.269 0.769 0.412
0.251 0.751 0.878
0.749 0.249 0.878
0.226 0.274 0.439
0.251 0.249 0.072
0.231 0.731 0.588
0.774 0.726 0.439
0.500 0.500 0.195
0.274 0.226 0.561
0.000 0.000 0.195
0.500 0.000 0.000
0.000 0.500 0.000
0.500 0.000 0.261
0.000 0.500 0.739
0.500 0.000 0.735
0.000 0.500 0.265